No. 1
Crystalline PmNd2Pb at its relaxed geometry. Source: Alexandria, functional PBE-GGA.

Properties
VASP energy	-4.494	eV per atom
energy above the lowest structure with this stoichiometry	0.342	eV per atom
energy of formation	0.005	eV per atom

a = 3.5316 Å, b = 5.7559 Å, c = 13.7414 Å
α = 90.00°, β = 97.38°, γ = 90.00°
Positions (direct):
Nd 0.9064 0.2500 0.8128
Nd 0.1853 0.2500 0.3707
Nd 0.0936 0.7500 0.1872
Nd 0.8147 0.7500 0.6293
Pm 0.9722 0.7500 0.9445
Pm 0.0278 0.2500 0.0555
Pb 0.3034 0.2500 0.6067
Pb 0.6966 0.7500 0.3933

=====

No. 2
Crystalline Pm5NdPb3 at its relaxed geometry. Source: Alexandria, functional PBE-GGA.

Properties
VASP energy	-4.834	eV per atom
energy of formation	-0.429	eV per atom

a = 6.7853 Å, b = 9.7180 Å, c = 9.7180 Å
α = 120.00°, β = 90.00°, γ = 90.00°
Site moments in Bohr magnetons follow the coordinates.
Positions (direct):
Pb 0.2500 0.3337 0.0000  -0.02
Pb 0.2500 0.0000 0.3338  -0.02
Pb 0.2500 0.6663 0.6662  -0.02
Pb 0.7500 0.0000 0.6662  -0.02
Pb 0.7500 0.6663 0.0000  -0.02
Pb 0.7500 0.3337 0.3338  -0.02
Nd 0.5000 0.0000 0.0000  0.27
Nd 0.0000 0.0000 0.0000  0.27
Pm 0.0000 0.6667 0.3333  0.32
Pm 0.7500 0.0000 0.3335  0.22
Pm 0.5000 0.6667 0.3333  0.32
Pm 0.5000 0.3333 0.6667  0.32
Pm 0.0000 0.3333 0.6667  0.32
Pm 0.7500 0.6665 0.6665  0.22
Pm 0.2500 0.3335 0.3335  0.22
Pm 0.2500 0.6665 0.0000  0.22
Pm 0.7500 0.3335 0.0000  0.22
Pm 0.2500 0.0000 0.6665  0.22

=====

No. 3
Crystalline PmNd2Pb at its relaxed geometry. Source: Alexandria, functional PBE-GGA.

Properties
VASP energy	-4.650	eV per atom
energy above the lowest structure with this stoichiometry	0.186	eV per atom
energy of formation	-0.151	eV per atom

a = 3.6865 Å, b = 3.6865 Å, c = 11.5684 Å
α = 80.83°, β = 80.83°, γ = 60.00°
Positions (direct):
Nd 0.2539 0.2539 0.2383
Nd 0.0797 0.0797 0.7610
Pb 0.6663 0.6663 0.0010
Pm 0.5001 0.5001 0.4997

=====

No. 4
Crystalline Pm2NdPb at its relaxed geometry. Source: Alexandria, functional PBE-GGA.

Properties
VASP energy	-4.636	eV per atom
energy above the lowest structure with this stoichiometry	0.193	eV per atom
energy of formation	-0.141	eV per atom

a = 5.6061 Å, b = 5.6061 Å, c = 5.6061 Å
α = 60.00°, β = 60.00°, γ = 60.00°
Positions (direct):
Pm 0.2500 0.2500 0.2500
Pm 0.7500 0.7500 0.7500
Nd 0.5000 0.5000 0.5000
Pb 0.0000 0.0000 0.0000

=====

No. 5
Crystalline PmNdPb6 at its relaxed geometry. Source: Alexandria, functional PBE-GGA.

Properties
VASP energy	-4.337	eV per atom
energy of formation	-0.366	eV per atom

a = 4.9229 Å, b = 4.9229 Å, c = 9.8533 Å
α = 90.00°, β = 90.00°, γ = 90.00°
Positions (direct):
Nd 0.0000 0.0000 0.5000
Pb 0.5000 0.0000 0.7509
Pb 0.0000 0.5000 0.7509
Pb 0.5000 0.0000 0.2491
Pb 0.5000 0.5000 0.0000
Pb 0.5000 0.5000 0.5000
Pb 0.0000 0.5000 0.2491
Pm 0.0000 0.0000 0.0000

=====

No. 6
Crystalline Pm8Nd5Pb at its relaxed geometry. Source: Alexandria, functional PBE-GGA.

Properties
VASP energy	-4.589	eV per atom
energy of formation	0.094	eV per atom

a = 8.5938 Å, b = 8.8548 Å, c = 8.5938 Å
α = 96.26°, β = 115.74°, γ = 116.10°
Positions (direct):
Nd 0.9908 0.2483 0.9231
Nd 0.6748 0.7517 0.7426
Nd 0.3342 0.1275 0.1050
Nd 0.4971 0.0000 0.4971
Nd 0.9775 0.8725 0.2067
Pm 0.0637 0.5693 0.3380
Pm 0.5794 0.3552 0.8774
Pm 0.0540 0.9543 0.6289
Pm 0.6746 0.0457 0.0997
Pm 0.5222 0.6448 0.2242
Pm 0.7687 0.4307 0.4944
Pm 0.0842 0.6684 0.9464
Pm 0.2780 0.3316 0.4157
Pb 0.2507 0.5000 0.7507